1.
The following is a DFT calculation (GGA-PBE) of a geometry-optimized AgOsRh2 structure.

Values from the calculation:
Energy relative to the elements   11.5 kJ/mol of atoms
Energy above the most stable polymorph in this dataset   0 meV/atom
Uncorrected energy   -7.077 eV/atom

Cell and atoms, written as CIF:
```
data_AgOsRh2
_symmetry_space_group_name_H-M 'P 4/m m m'
_symmetry_Int_Tables_number 123
_symmetry_space_group_name_Hall '-P 4 2'
_cell_length_a 2.759
_cell_length_b 2.759
_cell_length_c 7.910
_cell_angle_alpha 90.00
_cell_angle_beta 90.00
_cell_angle_gamma 90.00
loop_
_atom_site_label
_atom_site_fract_x
_atom_site_fract_y
_atom_site_fract_z
Ag1 0.000 0.000 0.000
Os1 0.000 0.000 0.500
Rh1 0.500 0.500 0.270
```



2.
The following is a DFT calculation (GGA-PBE) of a geometry-optimized AgOsRh2 structure.

Values from the calculation:
Energy relative to the elements   31.3 kJ/mol of atoms
Energy above the most stable polymorph in this dataset   205 meV/atom
Uncorrected energy   -6.872 eV/atom

Cell and atoms, written as CIF:
```
data_AgOsRh2
_symmetry_space_group_name_H-M 'P 4 m m'
_symmetry_Int_Tables_number 99
_symmetry_space_group_name_Hall 'P 4 -2'
_cell_length_a 2.734
_cell_length_b 2.734
_cell_length_c 8.061
_cell_angle_alpha 90.00
_cell_angle_beta 90.00
_cell_angle_gamma 90.00
loop_
_atom_site_label
_atom_site_fract_x
_atom_site_fract_y
_atom_site_fract_z
Ag1 0.000 0.000 0.000
Os1 0.500 0.500 0.270
Rh1 0.000 0.000 0.494
Rh2 0.500 0.500 0.736
```



3.
The following is a DFT calculation (GGA-PBE) of a geometry-optimized AgOsRh2 structure.

Values from the calculation:
Energy relative to the elements   40.4 kJ/mol of atoms
Energy above the most stable polymorph in this dataset   300 meV/atom
Uncorrected energy   -6.778 eV/atom

Cell and atoms, written as CIF:
```
data_AgOsRh2
_symmetry_space_group_name_H-M 'I m m 2'
_symmetry_Int_Tables_number 44
_symmetry_space_group_name_Hall 'I 2 -2'
_cell_length_a 2.744
_cell_length_b 4.606
_cell_length_c 9.830
_cell_angle_alpha 90.00
_cell_angle_beta 90.00
_cell_angle_gamma 90.00
loop_
_atom_site_label
_atom_site_fract_x
_atom_site_fract_y
_atom_site_fract_z
Ag1 0.000 0.000 0.000
Os1 0.000 0.500 0.235
Rh1 0.000 0.000 0.521
Rh2 0.000 0.500 0.781
```



4.
The following is a DFT calculation (GGA-PBE) of a geometry-optimized AgOs2Rh structure.

Values from the calculation:
Energy relative to the elements   45.3 kJ/mol of atoms
Energy above the most stable polymorph in this dataset   222 meV/atom
Uncorrected energy   -7.696 eV/atom

Cell and atoms, written as CIF:
```
data_AgOs2Rh
_symmetry_space_group_name_H-M 'C 1 2/m 1'
_symmetry_Int_Tables_number 12
_symmetry_space_group_name_Hall '-C 2y'
_cell_length_a 9.291
_cell_length_b 2.728
_cell_length_c 4.791
_cell_angle_alpha 90.00
_cell_angle_beta 100.04
_cell_angle_gamma 90.00
loop_
_atom_site_label
_atom_site_fract_x
_atom_site_fract_y
_atom_site_fract_z
Ag1 0.000 0.000 0.000
Os1 0.241 0.000 0.738
Rh1 0.000 0.500 0.500
```



5.
The following is a DFT calculation (GGA-PBE) of a geometry-optimized AgOsRh2 structure.

Values from the calculation:
Energy relative to the elements   14.4 kJ/mol of atoms
Energy above the most stable polymorph in this dataset   30 meV/atom
Uncorrected energy   -7.047 eV/atom

Cell and atoms, written as CIF:
```
data_AgOsRh2
_symmetry_space_group_name_H-M 'R -3 m'
_symmetry_Int_Tables_number 166
_symmetry_space_group_name_Hall '-R 3 2"'
_cell_length_a 2.7721
_cell_length_b 2.7721
_cell_length_c 27.1264
_cell_angle_alpha 90.00
_cell_angle_beta 90.00
_cell_angle_gamma 120.00
loop_
_atom_site_label
_atom_site_fract_x
_atom_site_fract_y
_atom_site_fract_z
Ag1 0.0000 0.0000 0.0000
Os1 0.0000 0.0000 0.5000
Rh1 0.0000 0.0000 0.2447
```



6.
The following is a DFT calculation (GGA-PBE) of a geometry-optimized AgOs2Rh structure.

Values from the calculation:
Energy relative to the elements   92.2 kJ/mol of atoms
Energy above the most stable polymorph in this dataset   708 meV/atom
Uncorrected energy   -7.210 eV/atom

Cell and atoms, written as CIF:
```
data_AgOs2Rh
_symmetry_space_group_name_H-M 'F m -3 m'
_symmetry_Int_Tables_number 225
_symmetry_space_group_name_Hall '-F 4 2 3'
_cell_length_a 6.235
_cell_length_b 6.235
_cell_length_c 6.235
_cell_angle_alpha 90.00
_cell_angle_beta 90.00
_cell_angle_gamma 90.00
loop_
_atom_site_label
_atom_site_fract_x
_atom_site_fract_y
_atom_site_fract_z
Ag1 0.000 0.000 0.000
Os1 0.250 0.250 0.250
Rh1 0.000 0.000 0.500
```



7.
The following is a DFT calculation (GGA-PBE) of a geometry-optimized AgOs4Rh structure.

Values from the calculation:
Energy relative to the elements   84.5 kJ/mol of atoms
Uncorrected energy   -8.311 eV/atom

Cell and atoms, written as CIF:
```
data_AgOs4Rh
_symmetry_space_group_name_H-M 'F -4 3 m'
_symmetry_Int_Tables_number 216
_symmetry_space_group_name_Hall 'F -4 2 3'
_cell_length_a 7.286
_cell_length_b 7.286
_cell_length_c 7.286
_cell_angle_alpha 90.00
_cell_angle_beta 90.00
_cell_angle_gamma 90.00
loop_
_atom_site_label
_atom_site_fract_x
_atom_site_fract_y
_atom_site_fract_z
Ag1 0.000 0.000 0.000
Os1 0.124 0.124 0.376
Rh1 0.250 0.250 0.750
```



8.
The following is a DFT calculation (GGA-PBE) of a geometry-optimized AgOsRh2 structure.

Values from the calculation:
Energy relative to the elements   33.1 kJ/mol of atoms
Energy above the most stable polymorph in this dataset   224 meV/atom
Uncorrected energy   -6.853 eV/atom

Cell and atoms, written as CIF:
```
data_AgOsRh2
_symmetry_space_group_name_H-M 'P m m 2'
_symmetry_Int_Tables_number 25
_symmetry_space_group_name_Hall 'P 2 -2'
_cell_length_a 2.747
_cell_length_b 4.492
_cell_length_c 4.837
_cell_angle_alpha 90.00
_cell_angle_beta 90.00
_cell_angle_gamma 90.00
loop_
_atom_site_label
_atom_site_fract_x
_atom_site_fract_y
_atom_site_fract_z
Ag1 0.000 0.000 0.000
Os1 0.000 0.500 0.656
Rh1 0.500 0.000 0.505
Rh2 0.500 0.500 0.174
```



9.
The following is a DFT calculation (GGA-PBE) of a geometry-optimized AgOs3Rh structure.

Values from the calculation:
Energy relative to the elements   239.1 kJ/mol of atoms
Energy above the most stable polymorph in this dataset   0 meV/atom
Uncorrected energy   -6.300 eV/atom

Cell and atoms, written as CIF:
```
data_AgOs3Rh
_symmetry_space_group_name_H-M 'P m -3 m'
_symmetry_Int_Tables_number 221
_symmetry_space_group_name_Hall '-P 4 2 3'
_cell_length_a 4.678
_cell_length_b 4.678
_cell_length_c 4.678
_cell_angle_alpha 90.00
_cell_angle_beta 90.00
_cell_angle_gamma 90.00
loop_
_atom_site_label
_atom_site_fract_x
_atom_site_fract_y
_atom_site_fract_z
Ag1 0.000 0.000 0.000
Os1 0.000 0.500 0.500
Rh1 0.500 0.500 0.500
```



10.
The following is a DFT calculation (GGA-PBE) of a geometry-optimized AgOsRh2 structure.

Values from the calculation:
Energy relative to the elements   41.1 kJ/mol of atoms
Energy above the most stable polymorph in this dataset   307 meV/atom
Uncorrected energy   -6.770 eV/atom

Cell and atoms, written as CIF:
```
data_AgOsRh2
_symmetry_space_group_name_H-M 'C m m 2'
_symmetry_Int_Tables_number 35
_symmetry_space_group_name_Hall 'C 2 -2'
_cell_length_a 2.743
_cell_length_b 4.673
_cell_length_c 9.541
_cell_angle_alpha 90.00
_cell_angle_beta 90.00
_cell_angle_gamma 90.00
loop_
_atom_site_label
_atom_site_fract_x
_atom_site_fract_y
_atom_site_fract_z
Ag1 0.000 0.000 0.000
Os1 0.000 0.500 0.265
Rh1 0.000 0.000 0.501
Rh2 0.000 0.500 0.743
```



11.
The following is a DFT calculation (GGA-PBE) of a geometry-optimized AgOs2Rh structure.

Values from the calculation:
Energy relative to the elements   112.5 kJ/mol of atoms
Energy above the most stable polymorph in this dataset   918 meV/atom
Uncorrected energy   -7.000 eV/atom

Cell and atoms, written as CIF:
```
data_AgOs2Rh
_symmetry_space_group_name_H-M 'I -4 2 d'
_symmetry_Int_Tables_number 122
_symmetry_space_group_name_Hall 'I -4 2bw'
_cell_length_a 7.326
_cell_length_b 7.326
_cell_length_c 5.110
_cell_angle_alpha 90.00
_cell_angle_beta 90.00
_cell_angle_gamma 90.00
loop_
_atom_site_label
_atom_site_fract_x
_atom_site_fract_y
_atom_site_fract_z
Ag1 0.000 0.000 0.000
Os1 0.203 0.250 0.625
Rh1 0.000 0.000 0.500
```



12.
The following is a DFT calculation (GGA-PBE) of a geometry-optimized AgOsRh2 structure.

Values from the calculation:
Energy relative to the elements   31.0 kJ/mol of atoms
Energy above the most stable polymorph in this dataset   203 meV/atom
Uncorrected energy   -6.875 eV/atom

Cell and atoms, written as CIF:
```
data_AgOsRh2
_symmetry_space_group_name_H-M 'C 1 m 1'
_symmetry_Int_Tables_number 8
_symmetry_space_group_name_Hall 'C -2y'
_cell_length_a 9.197
_cell_length_b 2.745
_cell_length_c 4.812
_cell_angle_alpha 90.00
_cell_angle_beta 99.99
_cell_angle_gamma 90.00
loop_
_atom_site_label
_atom_site_fract_x
_atom_site_fract_y
_atom_site_fract_z
Ag1 0.000 0.000 0.000
Os1 0.241 0.000 0.711
Rh1 0.003 0.500 0.510
Rh2 0.257 0.500 0.239
```